Material: Mn4O4F
Method: DFT, PBE+U
State: relaxed Values from VASP.

```
&SYSTEM
  ibrav = 0, nat = 18, ntyp = 3
/
ATOMIC_SPECIES
Mn 54.94 Mn.upf
O 16.00 O.upf
F 19.00 F.upf
CELL_PARAMETERS angstrom
5.860 -0.364 0.000
-0.919 5.799 0.000
0.000 0.000 7.228
ATOMIC_POSITIONS crystal
Mn 0.221 0.715 0.750
Mn 0.285 0.779 0.250
Mn 0.213 0.213 0.463
Mn 0.213 0.213 0.037
Mn 0.787 0.787 0.537
Mn 0.787 0.787 0.963
Mn 0.779 0.285 0.250
Mn 0.715 0.221 0.750
O 0.154 0.846 0.500
O 0.154 0.846 0.000
O 0.561 0.868 0.750
O 0.132 0.439 0.250
O 0.868 0.561 0.750
O 0.439 0.132 0.250
O 0.846 0.154 0.000
O 0.846 0.154 0.500
F 0.338 0.338 0.750
F 0.662 0.662 0.250
```

Results
For the final energy, the calculation gives -133.1 eV per cell. The crystal system is orthorhombic.